VASP calculation (GGA-PBEsol) on an optimized crystal structure of LiNiO2.

Summary:
**Uncorrected formation energy**: -0.77 eV per atom
**Crystal system**: cubic
**Total magnetic moment**: 2.64 μB per cell

Structure (extended XYZ):
```
4
Lattice="0.0000 2.4849 2.4849 2.4849 0.0000 2.4849 2.4849 2.4849 0.0000" Properties=species:S:1:pos:R:3 pbc="T T T"
Li 0.0000 0.0000 0.0000
Ni 2.4849 2.4849 2.4849
O 1.2424 1.2424 1.2424
O 3.7273 3.7273 3.7273
```

***

VASP calculation (GGA-PBEsol) on an optimized crystal structure of LiNiO2.

Summary:
**Uncorrected formation energy**: -1.30 eV per atom
**Crystal system**: trigonal
**Total magnetic moment**: 1.00 μB per cell

Structure (extended XYZ):
```
4
Lattice="1.4284 0.8247 4.6516 -1.4284 0.8247 4.6516 0.0000 -1.6494 4.6516" Properties=species:S:1:pos:R:3 pbc="T T T"
Li 0.0000 0.0000 0.0000
Ni 0.0000 0.0000 6.9775
O 0.0000 0.0000 3.3557
O 0.0000 0.0000 10.5992
```

***

VASP calculation (GGA-PBEsol) on an optimized crystal structure of LiNi3O6.

Summary:
**Uncorrected formation energy**: -0.98 eV per atom
**Crystal system**: monoclinic
**Total magnetic moment**: 0.99 μB per cell

Structure (extended XYZ):
```
10
Lattice="2.4557 -4.1580 0.0000 2.4557 4.1580 0.0000 -1.6750 0.0000 4.8498" Properties=species:S:1:pos:R:3 pbc="T T T"
Li 0.0000 0.0000 0.0000
Ni 1.6182 2.7644 2.4249
Ni 1.6182 0.0000 2.4249
Ni 1.6182 -2.7644 2.4249
O 0.7779 1.3622 1.4786
O -0.1459 0.0000 3.4297
O 0.7779 -1.3622 1.4786
O 2.4585 1.3622 3.3711
O 3.3823 0.0000 1.4201
O 2.4585 -1.3622 3.3711
```

***

VASP calculation (GGA-PBEsol) on an optimized crystal structure of Li2Ni5O10.

Summary:
**Uncorrected formation energy**: -1.03 eV per atom
**Crystal system**: triclinic
**Total magnetic moment**: 1.99 μB per cell

Structure (extended XYZ):
```
17
Lattice="4.9274 0.0000 0.0000 1.6349 4.8349 0.0000 2.4616 0.0473 6.9387" Properties=species:S:1:pos:R:3 pbc="T T T"
Li 2.0586 2.4254 1.9028
Li 6.9653 2.4568 5.0359
Ni 1.2308 0.0236 3.4694
Ni 1.2316 0.0059 0.6861
Ni 3.6937 0.0343 4.8498
Ni 5.3302 4.8479 2.0890
Ni 7.7923 4.8762 6.2527
O 2.8512 0.9841 6.2085
O 3.5583 3.8566 4.8755
O 2.8290 0.9716 3.4612
O 3.5591 3.8380 2.0760
O 2.8544 0.9466 0.7175
O 6.1694 3.9355 6.2213
O 5.4648 1.0442 4.8627
O 6.1949 3.9106 3.4776
O 5.4655 1.0256 2.0633
O 6.1727 3.8981 0.7302
```